Co2PdF: optimized geometry, PBE with a Hubbard U.

Cell and atoms, written as POSCAR:
```
Co2PdF
1.0
0.000 2.937 2.937
2.937 0.000 2.937
2.937 2.937 0.000
Co Pd F
2 1 1
Direct
0.250 0.250 0.250
0.750 0.750 0.750
0.000 0.000 0.000
0.500 0.500 0.500
```

## Properties
Theoretical density (g/cm3): 7.97
Crystal system: cubic
SG: Fm-3m
Offset from the most stable computed form (eV/atom): 0.5237
Magnetic moment (μB per formula unit): 4.70